Material: SmGdZnIr
Method: DFT, GGA-PBE
State: optimized geometry

```
SmGdZnIr
1.0
7.082 0.000 0.000
0.000 7.082 0.000
0.000 0.000 7.082
Sm Gd Zn Ir
4 4 4 4
Direct
0.000 0.000 0.000
0.000 0.500 0.500
0.500 0.000 0.500
0.500 0.500 0.000
0.000 0.000 0.500
0.000 0.500 0.000
0.500 0.000 0.000
0.500 0.500 0.500
0.250 0.250 0.250
0.250 0.750 0.750
0.750 0.250 0.750
0.750 0.750 0.250
0.250 0.250 0.750
0.250 0.750 0.250
0.750 0.250 0.250
0.750 0.750 0.750
```

Computed properties:
density	10.572	Mg/m³
volume	22.20	Å³ per atom
final energy	-7.79	eV per atom
calculated formation energy	-0.5561	eV per atom
space group	F-43m (216)